Here is Tb3HgSe2 after structural relaxation from Alexandria via LeMat-Bulk. Energies are from PBE.

Its formation energy (no corrections) is -1.34 eV per atom. The value obtained for the magnetization is 0.00 μB/f.u.

Cell lengths 4.0360, 5.9350, 12.9204 Å; angles 90.00, 90.00, 90.00 degrees
Space group Immm (No. 71)
One atom of each set of equivalent atoms:
Tb  0.0000  0.0000  0.0000 [2 per cell]
Tb  0.0000  0.0000  0.3251 [4 per cell]
Hg  0.0000  0.5000  0.0000 [2 per cell]
Se  0.0000  0.5000  0.3354 [4 per cell]